No. 1
VASP calculation (GGA-PBE) on a geometry-optimized ScMn2PRu structure.

a = 4.7238 Å, b = 4.7238 Å, c = 4.5106 Å
α = 90.00°, β = 90.00°, γ = 90.00°
Closest atoms and distances in Å follow each position.
Space group P4/mmm (No. 123)
Unique sites:
Sc1 0.0000 0.0000 0.0000 [1 per cell]  2 Ru 2.26, 4 Mn 2.36
Mn1 0.0000 0.5000 0.0000 [2 per cell]  2 Sc 2.36
P1 0.5000 0.5000 0.5000 [1 per cell]  8 Mn 3.27, 4 Ru 3.34
Ru1 0.0000 0.0000 0.5000 [1 per cell]  2 Sc 2.26

Formation enthalpy at 0 K (meV per atom): 1532.6

No. 2
VASP calculation (GGA-PBE) on a geometry-optimized MnP2RuSe structure.

a = 11.1437 Å, b = 2.9193 Å, c = 4.7607 Å
α = 90.00°, β = 104.83°, γ = 90.00°
Closest atoms and distances in Å follow each position.
Space group Cm (No. 8)
Unique sites:
Mn1 0.0000 0.0000 0.0000 [2 per cell]  4 P 2.32-2.33, 2 Se 2.44
P1 0.0228 0.5000 0.6380 [2 per cell]  1 P 2.23, 2 Mn 2.32, 2 Ru 2.38
P2 0.1342 0.5000 0.3093 [2 per cell]  1 P 2.23, 2 Mn 2.33, 1 Ru 2.39
Ru1 0.3561 0.5000 0.4237 [2 per cell]  3 P 2.38-2.39, 2 Se 2.51
Se1 0.3225 0.0000 0.9801 [2 per cell]  2 Mn 2.44, 2 Ru 2.51

Energy above the lowest structure with this stoichiometry (eV per formula unit): 0.53

No. 3
VASP calculation (GGA-PBE) on a geometry-optimized MnP2RuSe structure.

a = 4.6910 Å, b = 3.0161 Å, c = 6.2720 Å
α = 90.00°, β = 111.30°, γ = 90.00°
Closest atoms and distances in Å follow each position.
Space group Pm (No. 6)
Unique sites:
Mn1 0.0000 0.0000 0.0000 [1 per cell]  3 P 2.18-2.29, 2 Se 2.32
P1 0.6812 0.0000 0.6461 [1 per cell]  1 Mn 2.18, 2 Ru 2.24
P2 0.9515 0.5000 0.2600 [1 per cell]  2 Mn 2.29, 2 Ru 2.41-2.44
Ru1 0.5057 0.5000 0.3638 [1 per cell]  4 P 2.24-2.44
Se1 0.3333 0.5000 0.9305 [1 per cell]  2 Mn 2.32, 1 Ru 2.54

Energy above the lowest structure with this stoichiometry (eV per formula unit): 0.53

Sequential E output: -31.69 -33.70 -33.70 eV/f.u.